Entry 1:
A relaxed structure of ErTlGaO4. Source: Alexandria via LeMat-Bulk, functional PBE.

Cell lengths 6.594, 6.594, 6.594 Å; angles 123.24, 117.42, 89.50 degrees
Element x y z (fractional)
Er (0.000, 0.000, 0.000)
Er (0.500, 0.000, 0.500)
Tl (0.500, 0.000, 0.000)
Tl (0.500, 0.500, 0.500)
Ga (0.115, 0.365, 0.750)
Ga (0.885, 0.635, 0.250)
O (0.215, 0.243, 0.972)
O (0.228, 0.757, 0.472)
O (0.234, 0.229, 0.495)
O (0.234, 0.739, 0.005)
O (0.766, 0.261, 0.995)
O (0.766, 0.771, 0.505)
O (0.772, 0.243, 0.528)
O (0.785, 0.757, 0.028)

**Spin magnetization**: 0.000 μB/cell
**Calculated density**: 8.3 g/cm³
**Crystal system**: orthorhombic
**E_form (uncorrected)**: -1925 meV/atom
**Space group**: Imma (74)

Entry 2:
A relaxed structure of Ho2HfO. Source: Alexandria via LeMat-Bulk, functional PBE.

Cell lengths 9.243, 9.243, 9.243 Å; angles 20.57, 20.57, 20.57 degrees
Element x y z (fractional)
Ho (0.115, 0.115, 0.115)
Ho (0.885, 0.885, 0.885)
Hf (0.000, 0.000, 0.000)
O (0.500, 0.500, 0.500)

**Spin magnetization**: 0.000 μB/cell
**Calculated density**: 10.2 g/cm³
**Crystal system**: trigonal
**E_form (uncorrected)**: -1031 meV/atom
**Space group**: R-3m (166)

Entry 3:
A relaxed structure of Tb12CoNi6. Source: Alexandria via LeMat-Bulk, functional PBE.

Cell lengths 7.948, 7.948, 7.948 Å; angles 98.20, 98.20, 98.20 degrees
Element x y z (fractional)
Tb (0.044, 0.682, 0.914)
Tb (0.086, 0.956, 0.318)
Tb (0.182, 0.412, 0.578)
Tb (0.318, 0.086, 0.956)
Tb (0.412, 0.578, 0.182)
Tb (0.422, 0.818, 0.588)
Tb (0.578, 0.182, 0.412)
Tb (0.588, 0.422, 0.818)
Tb (0.682, 0.914, 0.044)
Tb (0.818, 0.588, 0.422)
Tb (0.914, 0.044, 0.682)
Tb (0.956, 0.318, 0.086)
Co (0.000, 0.000, 0.000)
Ni (0.129, 0.616, 0.312)
Ni (0.312, 0.129, 0.616)
Ni (0.384, 0.688, 0.871)
Ni (0.616, 0.312, 0.129)
Ni (0.688, 0.871, 0.384)
Ni (0.871, 0.384, 0.688)

**Energy of formation from the pure elements**: -0.18 eV per atom
**Spin magnetization**: 0.000 μB/cell
**Calculated density**: 7.9 g/cm³
**Crystal system**: trigonal
**Space group**: R-3 (148)